Record 1
VASP calculation (PBE) on an optimized crystal structure of YTaP2.

Cell and atoms, written as POSCAR:
```
YTaP2
1.0
-3.482 -0.342 1.435
-0.351 -3.381 -1.656
2.002 -2.316 4.304
Ta P Y
1 2 1
Cartesian
0.751 -0.869 1.615
1.752 -2.027 3.766
-1.166 -2.730 1.503
-0.165 -3.888 3.655
```

Summary:
energy of formation from the pure elements: -3.53 eV per formula unit

---

Record 2
VASP calculation (PBE) on an optimized crystal structure of InAg3.

Cell and atoms, written as POSCAR:
```
InAg3
1.0
4.219 0.000 0.000
0.000 4.219 0.000
-2.109 -2.109 4.257
In Ag
1 3
Cartesian
0.000 0.000 0.000
2.109 2.109 0.000
2.109 0.000 2.129
0.000 2.109 2.129
```

Summary:
energy of formation from the pure elements: -0.13 eV per formula unit

---

Which value of energy of formation from the pure elements does entry 2 give? -0.13 eV per formula unit

---

Which formula does entry 1 have? YTaP2

---

Copy entry 2 word for word.
VASP calculation (PBE) on an optimized crystal structure of InAg3.

Cell and atoms, written as POSCAR:
```
InAg3
1.0
4.219 0.000 0.000
0.000 4.219 0.000
-2.109 -2.109 4.257
In Ag
1 3
Cartesian
0.000 0.000 0.000
2.109 2.109 0.000
2.109 0.000 2.129
0.000 2.109 2.129
```

Summary:
energy of formation from the pure elements: -0.13 eV per formula unit